Entry from Alexandria: an optimized crystal structure of TaSi2Br (PBEsol).

a b c (Å): 3.1763 3.1763 7.4720
angles (deg): 90.00 90.00 90.00
Last column: nearest neighbours and their distance in Å.
Positions (direct):
Ta1 0.0000 0.0000 0.0000  5 Si 2.64-2.68, 4 Br 2.84
Si1 0.0000 0.0000 0.6468  4 Si 2.53, 1 Ta 2.64
Si2 0.5000 0.5000 0.8032  4 Si 2.53, 4 Ta 2.68
Br1 0.5000 0.5000 0.2322  4 Ta 2.84, 4 Br 3.18

Computed properties:
- calculated density (g/cm3) = 6.98
- E_form (uncorrected) (eV/f.u.) = 0.00
- density of states at the Fermi level (states/eV/atom) = 0.23
- total magnetization (μB per formula unit) = 0.0
- crystal system = tetragonal
- energy above the most stable polymorph in this dataset (eV per formula unit) = 0.00
- calculated total energy (eV for the cell shown) = -25.92


Entry from Alexandria: an optimized crystal structure of KInOs2 (PBEsol).

a b c (Å): 2.7415 4.6074 6.9480
angles (deg): 90.00 90.00 90.00
Last column: nearest neighbours and their distance in Å.
Positions (direct):
K1 0.0000 0.0000 0.0000  2 K 2.74
In1 0.0000 0.0000 0.5000  2 In 2.74, 8 Os 2.92
Os1 0.5000 0.5000 0.3346  1 Os 2.30
Os2 0.5000 0.5000 0.6654  1 Os 2.30

Computed properties:
- calculated density (g/cm3) = 10.11
- density of states at the Fermi level (states/eV/atom) = 1.12
- total magnetization (μB per formula unit) = 0.6
- crystal system = orthorhombic
- formation energy (eV per atom) = 1.084
- calculated total energy (eV for the cell shown) = -24.21


Entry from Alexandria: an optimized crystal structure of MgRe2Mo (PBEsol).

a b c (Å): 5.4528 8.8549 2.6643
angles (deg): 90.00 110.43 90.00
Last column: nearest neighbours and their distance in Å.
Positions (direct):
Mg1 0.0000 0.0000 0.0000  2 Mg 2.66, 4 Re 2.70, 2 Mo 2.73
Mg2 0.5000 0.5000 0.0000  2 Mg 2.66, 4 Re 2.70, 2 Mo 2.73
Re1 0.2500 0.2500 0.5000  4 Re 2.66-2.73, 2 Mo 2.70, 2 Mg 2.70
Re2 0.2500 0.7500 0.5000  4 Re 2.66-2.73, 2 Mo 2.70, 2 Mg 2.70
Re3 0.7500 0.2500 0.5000  4 Re 2.66-2.73, 2 Mo 2.70, 2 Mg 2.70
Re4 0.7500 0.7500 0.5000  4 Re 2.66-2.73, 2 Mo 2.70, 2 Mg 2.70
Mo1 0.0000 0.5000 0.0000  2 Mo 2.66, 4 Re 2.70, 2 Mg 2.73
Mo2 0.5000 0.0000 0.0000  2 Mo 2.66, 4 Re 2.70, 2 Mg 2.73

Computed properties:
- calculated density (g/cm3) = 13.57
- density of states at the Fermi level (states/eV/atom) = 0.77
- total magnetization (μB per formula unit) = 0.0
- crystal system = monoclinic
- formation energy (eV per atom) = 0.286
- calculated total energy (eV for the cell shown) = -78.01


Entry from Alexandria: an optimized crystal structure of BaReRh2 (PBEsol).

a b c (Å): 4.2947 4.2947 17.2290
angles (deg): 90.00 90.00 120.00
Last column: nearest neighbours and their distance in Å.
Positions (direct):
Ba1 0.0000 0.0000 0.0000  8 Rh 3.37-3.43
Ba2 0.3333 0.6667 0.6667  8 Rh 3.37-3.43
Ba3 0.6667 0.3333 0.3333  8 Rh 3.37-3.43
Re1 0.0000 0.0000 0.5000  6 Rh 2.53
Re2 0.3333 0.6667 0.1667  6 Rh 2.53
Re3 0.6667 0.3333 0.8333  6 Rh 2.53
Rh1 0.0000 0.0000 0.1959  3 Re 2.53, 3 Rh 2.68
Rh2 0.0000 0.0000 0.8041  3 Re 2.53, 3 Rh 2.68
Rh3 0.3333 0.6667 0.4708  3 Re 2.53, 3 Rh 2.68
Rh4 0.3333 0.6667 0.8625  3 Re 2.53, 3 Rh 2.68
Rh5 0.6667 0.3333 0.1375  3 Re 2.53, 3 Rh 2.68
Rh6 0.6667 0.3333 0.5292  3 Re 2.53, 3 Rh 2.68

Computed properties:
- calculated density (g/cm3) = 9.58
- density of states at the Fermi level (states/eV/atom) = 1.20
- total magnetization (μB per formula unit) = 0.0
- crystal system = trigonal
- formation energy (eV per atom) = 0.244
- calculated total energy (eV for the cell shown) = -92.35


Entry from Alexandria: an optimized crystal structure of AlB2PdO (PBEsol).

a b c (Å): 3.7781 3.7781 3.5203
angles (deg): 90.00 90.00 90.00
Last column: nearest neighbours and their distance in Å.
Positions (direct):
Al1 0.0000 0.0000 0.0000  2 O 1.76
B1 0.0000 0.5000 0.5000  2 O 1.89
B2 0.5000 0.0000 0.5000  2 O 1.89
Pd1 0.5000 0.5000 0.0000  8 B 2.58, 4 Al 2.67
O1 0.0000 0.0000 0.5000  2 Al 1.76, 4 B 1.89

Computed properties:
- calculated density (g/cm3) = 5.65
- E_form (uncorrected) (eV/f.u.) = 2.55
- density of states at the Fermi level (states/eV/atom) = 0.35
- total magnetization (μB per formula unit) = 0.0
- crystal system = tetragonal
- calculated total energy (eV for the cell shown) = -26.78


Entry from Alexandria: an optimized crystal structure of ZnCuNi (PBEsol).

a b c (Å): 3.9850 3.9850 2.5080
angles (deg): 90.00 90.00 120.00
Last column: nearest neighbours and their distance in Å.
Positions (direct):
Zn1 0.0000 0.0000 0.0000  3 Cu 2.43, 3 Ni 2.45, 2 Zn 2.51
Cu1 0.6667 0.3333 0.3164  3 Zn 2.43, 3 Ni 2.46, 2 Cu 2.51
Ni1 0.3333 0.6667 0.6592  3 Zn 2.45, 3 Cu 2.46, 2 Ni 2.51

Computed properties:
- calculated density (g/cm3) = 9.03
- density of states at the Fermi level (states/eV/atom) = 0.37
- total magnetization (μB per formula unit) = 0.0
- crystal system = trigonal
- energy above the most stable polymorph in this dataset (eV per formula unit) = 0.12
- formation energy (eV per atom) = -0.091
- calculated total energy (eV for the cell shown) = -12.35


Entry from Alexandria: an optimized crystal structure of CsHoW2O8 (PBEsol).

a b c (Å): 7.5201 7.5201 7.4963
angles (deg): 117.48 117.48 88.96
Last column: nearest neighbours and their distance in Å.
Positions (direct):
Cs1 0.1980 0.8020 0.7500  10 O 2.92-3.07
Cs2 0.8020 0.1980 0.2500  10 O 2.92-3.07
Ho1 0.2267 0.7733 0.2500  6 O 2.26-2.32
Ho2 0.7733 0.2267 0.7500  6 O 2.26-2.32
W1 0.3016 0.3100 0.2759  4 O 1.81-2.00
W2 0.3100 0.3016 0.7759  4 O 1.81-2.00
W3 0.6900 0.6984 0.2241  4 O 1.81-2.00
W4 0.6984 0.6900 0.7241  4 O 1.81-2.00
O1 0.0488 0.2189 0.7021  1 W 1.81
O2 0.0616 0.3745 0.1243  1 W 1.84
O3 0.2189 0.0488 0.2021  1 W 1.81
O4 0.2477 0.3791 0.5626  1 W 1.81
O5 0.3713 0.5887 0.0350  2 W 2.00-2.07
O6 0.3745 0.0616 0.6243  1 W 1.84
O7 0.3791 0.2477 0.0626  1 W 1.81
O8 0.4113 0.6287 0.4650  2 W 2.00-2.07
O9 0.5887 0.3713 0.5350  2 W 2.00-2.07
O10 0.6209 0.7523 0.9374  1 W 1.81
O11 0.6255 0.9384 0.3757  1 W 1.84
O12 0.6287 0.4113 0.9650  2 W 2.00-2.07
O13 0.7523 0.6209 0.4374  1 W 1.81
O14 0.7811 0.9512 0.7979  1 W 1.81
O15 0.9384 0.6255 0.8757  1 W 1.84
O16 0.9512 0.7811 0.2979  1 W 1.81

Computed properties:
- calculated density (g/cm3) = 8.15
- E_form (uncorrected) (eV/f.u.) = -30.54
- density of states at the Fermi level (states/eV/atom) = 0.00
- total magnetization (μB per formula unit) = 0.0
- crystal system = monoclinic
- calculated total energy (eV for the cell shown) = -212.08


Entry from Alexandria: an optimized crystal structure of Be2ZnSi (PBEsol).

a b c (Å): 3.5813 3.5813 7.0788
angles (deg): 90.00 90.00 90.00
Last column: nearest neighbours and their distance in Å.
Positions (direct):
Be1 0.0000 0.5000 0.2500  4 Si 2.52, 4 Zn 2.52, 4 Be 2.53
Be2 0.0000 0.5000 0.7500  4 Zn 2.52, 4 Si 2.52, 4 Be 2.53
Be3 0.5000 0.0000 0.2500  4 Si 2.52, 4 Zn 2.52, 4 Be 2.53
Be4 0.5000 0.0000 0.7500  4 Zn 2.52, 4 Si 2.52, 4 Be 2.53
Zn1 0.0000 0.0000 0.0000  8 Be 2.52, 4 Si 2.53
Zn2 0.5000 0.5000 0.5000  8 Be 2.52, 4 Si 2.53
Si1 0.0000 0.0000 0.5000  8 Be 2.52, 4 Zn 2.53
Si2 0.5000 0.5000 0.0000  8 Be 2.52, 4 Zn 2.53

Computed properties:
- calculated density (g/cm3) = 4.08
- E_form (uncorrected) (eV/f.u.) = 1.16
- density of states at the Fermi level (states/eV/atom) = 0.30
- total magnetization (μB per formula unit) = 0.0
- crystal system = tetragonal
- energy above the most stable polymorph in this dataset (eV per formula unit) = 0.03
- calculated total energy (eV for the cell shown) = -28.33


Entry from Alexandria: an optimized crystal structure of CaPbBr (PBEsol).

a b c (Å): 3.7435 3.7435 7.9352
angles (deg): 90.00 90.00 120.00
Last column: nearest neighbours and their distance in Å.
Positions (direct):
Ca1 0.0000 0.0000 0.0000  3 Br 2.82
Pb1 0.3333 0.6667 0.6607  3 Ca 3.45, 6 Pb 3.74
Br1 0.6667 0.3333 0.2277  3 Ca 2.82

Computed properties:
- calculated density (g/cm3) = 5.64
- E_form (uncorrected) (eV/f.u.) = -2.54
- density of states at the Fermi level (states/eV/atom) = 0.75
- total magnetization (μB per formula unit) = 0.0
- crystal system = trigonal
- calculated total energy (eV for the cell shown) = -10.54


Entry from Alexandria: an optimized crystal structure of BaCoOs2Ru (PBEsol).

a b c (Å): 4.4070 4.4070 5.1302
angles (deg): 90.00 90.00 90.00
Last column: nearest neighbours and their distance in Å.
Positions (direct):
Ba1 0.0000 0.0000 0.0000  2 Co 2.57
Co1 0.0000 0.0000 0.5000  4 Os 2.20
Os1 0.0000 0.5000 0.5000  2 Co 2.20
Os2 0.5000 0.0000 0.5000  2 Co 2.20
Ru1 0.5000 0.5000 0.0000  4 Ba 3.12, 8 Os 3.38

Computed properties:
- calculated density (g/cm3) = 11.30
- density of states at the Fermi level (states/eV/atom) = 1.73
- total magnetization (μB per formula unit) = 1.4
- crystal system = tetragonal
- formation energy (eV per atom) = 2.025
- calculated total energy (eV for the cell shown) = -34.37